No. 1
VASP calculation (PBE) on an optimized crystal structure of RbGaBr2N.

## Properties
For the total magnetic moment, the calculation gives 1.00 μB/f.u. The value obtained for the formation energy from raw total energies is -364 meV/atom. Its volume is 24.7 Å³/atom. For the total energy, the calculation gives -3.50 eV per atom.

Cell and atoms, written as CIF:
```
data_RbGaBr2N
_chemical_formula_sum 'Rb1 Ga1 Br2 N1'
_space_group_name_H-M_alt 'P 1'
_space_group_IT_number 1
_cell_length_a 5.760
_cell_length_b 5.760
_cell_length_c 3.723
_cell_angle_alpha 90.00
_cell_angle_beta 90.00
_cell_angle_gamma 90.00
loop_
_space_group_symop_operation_xyz
'x,y,z'
loop_
_atom_site_label
_atom_site_type_symbol
_atom_site_fract_x
_atom_site_fract_y
_atom_site_fract_z
Rb1 Rb 0.000 0.000 0.000
Ga1 Ga 0.500 0.500 0.500
Br1 Br 0.000 0.500 0.500
Br2 Br 0.500 0.000 0.500
N1 N 0.500 0.500 0.000
```

***

No. 2
VASP calculation (PBE) on an optimized crystal structure of Rb2GaBr6N.

## Properties
For the total magnetic moment, the calculation gives 2.00 μB/f.u. The value obtained for the formation energy from raw total energies is -483 meV/atom. Its volume is 30.6 Å³/atom. For the total energy, the calculation gives -2.82 eV per atom.

Cell and atoms, written as CIF:
```
data_Rb2GaBr6N
_chemical_formula_sum 'Rb2 Ga1 Br6 N1'
_space_group_name_H-M_alt 'P 1'
_space_group_IT_number 1
_cell_length_a 7.773
_cell_length_b 7.773
_cell_length_c 7.773
_cell_angle_alpha 124.52
_cell_angle_beta 124.52
_cell_angle_gamma 82.33
loop_
_space_group_symop_operation_xyz
'x,y,z'
loop_
_atom_site_label
_atom_site_type_symbol
_atom_site_fract_x
_atom_site_fract_y
_atom_site_fract_z
Rb1 Rb 0.250 0.750 0.500
Rb2 Rb 0.750 0.250 0.500
Ga1 Ga 0.000 0.000 0.000
Br1 Br 0.217 0.217 0.000
Br2 Br 0.258 0.258 0.515
Br3 Br 0.258 0.742 0.000
Br4 Br 0.742 0.258 0.000
Br5 Br 0.742 0.742 0.485
Br6 Br 0.783 0.783 0.000
N1 N 0.500 0.500 0.000
```

***

No. 3
VASP calculation (PBE) on an optimized crystal structure of GaRh2BrN.

## Properties
For the total magnetic moment, the calculation gives 3.97 μB/f.u. The value obtained for the formation energy from raw total energies is 1878 meV/atom. Its volume is 25.3 Å³/atom. For the total energy, the calculation gives -3.67 eV per atom.

Cell and atoms, written as CIF:
```
data_GaRh2BrN
_chemical_formula_sum 'Ga1 Rh2 Br1 N1'
_space_group_name_H-M_alt 'P 1'
_space_group_IT_number 1
_cell_length_a 4.632
_cell_length_b 4.632
_cell_length_c 5.897
_cell_angle_alpha 90.00
_cell_angle_beta 90.00
_cell_angle_gamma 90.00
loop_
_space_group_symop_operation_xyz
'x,y,z'
loop_
_atom_site_label
_atom_site_type_symbol
_atom_site_fract_x
_atom_site_fract_y
_atom_site_fract_z
Ga1 Ga 0.000 0.000 0.000
Rh1 Rh 0.000 0.500 0.500
Rh2 Rh 0.500 0.000 0.500
Br1 Br 0.000 0.000 0.500
N1 N 0.500 0.500 0.000
```

***

No. 4
VASP calculation (PBE) on an optimized crystal structure of GaS2BrN.

## Properties
For the total magnetic moment, the calculation gives 0.00 μB/f.u. The distance to the lowest polymorph of the same formula comes out at 0 meV per atom. The value obtained for the formation energy from raw total energies is 1020 meV/atom. Its volume is 18.4 Å³/atom. For the total energy, the calculation gives -3.24 eV per atom.

Cell and atoms, written as CIF:
```
data_GaS2BrN
_chemical_formula_sum 'Ga1 S2 Br1 N1'
_space_group_name_H-M_alt 'P 1'
_space_group_IT_number 1
_cell_length_a 5.003
_cell_length_b 5.003
_cell_length_c 3.679
_cell_angle_alpha 90.00
_cell_angle_beta 90.00
_cell_angle_gamma 90.00
loop_
_space_group_symop_operation_xyz
'x,y,z'
loop_
_atom_site_label
_atom_site_type_symbol
_atom_site_fract_x
_atom_site_fract_y
_atom_site_fract_z
Ga1 Ga 0.000 0.000 0.000
S1 S 0.000 0.500 0.000
S2 S 0.500 0.000 0.000
Br1 Br 0.500 0.500 0.500
N1 N 0.000 0.000 0.500
```

***

No. 5
VASP calculation (PBE) on an optimized crystal structure of GaS2BrN.

## Properties
For the total magnetic moment, the calculation gives 4.31 μB/f.u. The distance to the lowest polymorph of the same formula comes out at 261 meV per atom. The value obtained for the formation energy from raw total energies is 1281 meV/atom. Its volume is 24.3 Å³/atom. For the total energy, the calculation gives -2.98 eV per atom.

Cell and atoms, written as CIF:
```
data_GaS2BrN
_chemical_formula_sum 'Ga1 S2 Br1 N1'
_space_group_name_H-M_alt 'P 1'
_space_group_IT_number 1
_cell_length_a 4.760
_cell_length_b 4.760
_cell_length_c 5.355
_cell_angle_alpha 90.00
_cell_angle_beta 90.00
_cell_angle_gamma 90.00
loop_
_space_group_symop_operation_xyz
'x,y,z'
loop_
_atom_site_label
_atom_site_type_symbol
_atom_site_fract_x
_atom_site_fract_y
_atom_site_fract_z
Ga1 Ga 0.000 0.000 0.000
S1 S 0.000 0.500 0.000
S2 S 0.500 0.000 0.000
Br1 Br 0.000 0.000 0.500
N1 N 0.500 0.500 0.500
```

***

No. 6
VASP calculation (PBE) on an optimized crystal structure of GaS2BrN.

## Properties
For the total magnetic moment, the calculation gives 0.72 μB/f.u. The distance to the lowest polymorph of the same formula comes out at 403 meV per atom. The value obtained for the formation energy from raw total energies is 1423 meV/atom. Its volume is 19.7 Å³/atom. For the total energy, the calculation gives -2.83 eV per atom.

Cell and atoms, written as CIF:
```
data_GaS2BrN
_chemical_formula_sum 'Ga1 S2 Br1 N1'
_space_group_name_H-M_alt 'P 1'
_space_group_IT_number 1
_cell_length_a 5.080
_cell_length_b 5.080
_cell_length_c 3.819
_cell_angle_alpha 90.00
_cell_angle_beta 90.00
_cell_angle_gamma 90.00
loop_
_space_group_symop_operation_xyz
'x,y,z'
loop_
_atom_site_label
_atom_site_type_symbol
_atom_site_fract_x
_atom_site_fract_y
_atom_site_fract_z
Ga1 Ga 0.000 0.000 0.000
S1 S 0.000 0.500 0.500
S2 S 0.500 0.000 0.500
Br1 Br 0.500 0.500 0.500
N1 N 0.500 0.500 0.000
```

***

No. 7
VASP calculation (PBE) on an optimized crystal structure of GaSeBrN2.

## Properties
For the total magnetic moment, the calculation gives 0.74 μB/f.u. The distance to the lowest polymorph of the same formula comes out at 550 meV per atom. The value obtained for the formation energy from raw total energies is 1815 meV/atom. Its volume is 22.2 Å³/atom. For the total energy, the calculation gives -3.15 eV per atom.

Cell and atoms, written as CIF:
```
data_GaSeBrN2
_chemical_formula_sum 'Ga1 Se1 Br1 N2'
_space_group_name_H-M_alt 'P 1'
_space_group_IT_number 1
_cell_length_a 3.824
_cell_length_b 3.824
_cell_length_c 7.596
_cell_angle_alpha 90.00
_cell_angle_beta 90.00
_cell_angle_gamma 90.00
loop_
_space_group_symop_operation_xyz
'x,y,z'
loop_
_atom_site_label
_atom_site_type_symbol
_atom_site_fract_x
_atom_site_fract_y
_atom_site_fract_z
Ga1 Ga 0.000 0.000 0.000
Se1 Se 0.500 0.500 0.000
Br1 Br 0.500 0.500 0.500
N1 N 0.000 0.500 0.500
N2 N 0.500 0.000 0.500
```

***

No. 8
VASP calculation (PBE) on an optimized crystal structure of GaSeBrN2.

## Properties
For the total magnetic moment, the calculation gives 3.58 μB/f.u. The distance to the lowest polymorph of the same formula comes out at 0 meV per atom. The value obtained for the formation energy from raw total energies is 1265 meV/atom. Its volume is 18.4 Å³/atom. For the total energy, the calculation gives -3.70 eV per atom.

Cell and atoms, written as CIF:
```
data_GaSeBrN2
_chemical_formula_sum 'Ga1 Se1 Br1 N2'
_space_group_name_H-M_alt 'P 1'
_space_group_IT_number 1
_cell_length_a 3.982
_cell_length_b 3.982
_cell_length_c 5.794
_cell_angle_alpha 90.00
_cell_angle_beta 90.00
_cell_angle_gamma 90.00
loop_
_space_group_symop_operation_xyz
'x,y,z'
loop_
_atom_site_label
_atom_site_type_symbol
_atom_site_fract_x
_atom_site_fract_y
_atom_site_fract_z
Ga1 Ga 0.000 0.000 0.000
Se1 Se 0.000 0.000 0.500
Br1 Br 0.500 0.500 0.500
N1 N 0.000 0.500 0.000
N2 N 0.500 0.000 0.000
```

***

No. 9
VASP calculation (PBE) on an optimized crystal structure of GaTcBrN2.

## Properties
For the total magnetic moment, the calculation gives 4.69 μB/f.u. The value obtained for the formation energy from raw total energies is 1603 meV/atom. Its volume is 16.8 Å³/atom. For the total energy, the calculation gives -4.74 eV per atom.

Cell and atoms, written as CIF:
```
data_GaTcBrN2
_chemical_formula_sum 'Ga1 Tc1 Br1 N2'
_space_group_name_H-M_alt 'P 1'
_space_group_IT_number 1
_cell_length_a 3.836
_cell_length_b 3.836
_cell_length_c 5.714
_cell_angle_alpha 90.00
_cell_angle_beta 90.00
_cell_angle_gamma 90.00
loop_
_space_group_symop_operation_xyz
'x,y,z'
loop_
_atom_site_label
_atom_site_type_symbol
_atom_site_fract_x
_atom_site_fract_y
_atom_site_fract_z
Ga1 Ga 0.000 0.000 0.000
Tc1 Tc 0.500 0.500 0.500
Br1 Br 0.000 0.000 0.500
N1 N 0.000 0.500 0.000
N2 N 0.500 0.000 0.000
```

***

No. 10
VASP calculation (PBE) on an optimized crystal structure of GaTe2BrN.

## Properties
For the total magnetic moment, the calculation gives 0.00 μB/f.u. The distance to the lowest polymorph of the same formula comes out at 0 meV per atom. The value obtained for the formation energy from raw total energies is 680 meV/atom. Its volume is 24.7 Å³/atom. For the total energy, the calculation gives -3.18 eV per atom.

Cell and atoms, written as CIF:
```
data_GaTe2BrN
_chemical_formula_sum 'Ga1 Te2 Br1 N1'
_space_group_name_H-M_alt 'P 1'
_space_group_IT_number 1
_cell_length_a 5.947
_cell_length_b 5.947
_cell_length_c 3.495
_cell_angle_alpha 90.00
_cell_angle_beta 90.00
_cell_angle_gamma 90.00
loop_
_space_group_symop_operation_xyz
'x,y,z'
loop_
_atom_site_label
_atom_site_type_symbol
_atom_site_fract_x
_atom_site_fract_y
_atom_site_fract_z
Ga1 Ga 0.000 0.000 0.000
Te1 Te 0.000 0.500 0.000
Te2 Te 0.500 0.000 0.000
Br1 Br 0.500 0.500 0.500
N1 N 0.000 0.000 0.500
```

***

No. 11
VASP calculation (PBE) on an optimized crystal structure of GaTe2BrN.

## Properties
For the total magnetic moment, the calculation gives 0.00 μB/f.u. The distance to the lowest polymorph of the same formula comes out at 530 meV per atom. The value obtained for the formation energy from raw total energies is 1210 meV/atom. Its volume is 28.7 Å³/atom. For the total energy, the calculation gives -2.65 eV per atom.

Cell and atoms, written as CIF:
```
data_GaTe2BrN
_chemical_formula_sum 'Ga1 Te2 Br1 N1'
_space_group_name_H-M_alt 'P 1'
_space_group_IT_number 1
_cell_length_a 6.313
_cell_length_b 6.313
_cell_length_c 3.595
_cell_angle_alpha 90.00
_cell_angle_beta 90.00
_cell_angle_gamma 90.00
loop_
_space_group_symop_operation_xyz
'x,y,z'
loop_
_atom_site_label
_atom_site_type_symbol
_atom_site_fract_x
_atom_site_fract_y
_atom_site_fract_z
Ga1 Ga 0.000 0.000 0.000
Te1 Te 0.000 0.500 0.500
Te2 Te 0.500 0.000 0.500
Br1 Br 0.500 0.500 0.500
N1 N 0.500 0.500 0.000
```

***

No. 12
VASP calculation (PBE) on an optimized crystal structure of Tl2GaBrN.

## Properties
For the total magnetic moment, the calculation gives 1.74 μB/f.u. The value obtained for the formation energy from raw total energies is 1109 meV/atom. Its volume is 44.1 Å³/atom. For the total energy, the calculation gives -2.44 eV per atom.

Cell and atoms, written as CIF:
```
data_Tl2GaBrN
_chemical_formula_sum 'Tl2 Ga1 Br1 N1'
_space_group_name_H-M_alt 'P 1'
_space_group_IT_number 1
_cell_length_a 6.252
_cell_length_b 6.252
_cell_length_c 5.645
_cell_angle_alpha 90.00
_cell_angle_beta 90.00
_cell_angle_gamma 90.00
loop_
_space_group_symop_operation_xyz
'x,y,z'
loop_
_atom_site_label
_atom_site_type_symbol
_atom_site_fract_x
_atom_site_fract_y
_atom_site_fract_z
Tl1 Tl 0.000 0.500 0.000
Tl2 Tl 0.500 0.000 0.000
Ga1 Ga 0.000 0.000 0.500
Br1 Br 0.000 0.000 0.000
N1 N 0.500 0.500 0.500
```